# ReHgAs2, optimized geometry, DFT PBE-GGA
data_ReHgAs2
_chemical_formula_sum 'Re2 Hg2 As4'
_cell_length_a 3.101
_cell_length_b 5.080
_cell_length_c 10.331
_cell_angle_alpha 90.00
_cell_angle_beta 90.00
_cell_angle_gamma 90.00
_space_group_name_H-M_alt 'C m m 2'
_space_group_IT_number 35
loop_
_space_group_symop_operation_xyz
'x,y,z'
'-x,-y,z'
'-x,y,z'
'x,-y,z'
'x+1/2,y+1/2,z'
'-x+1/2,-y+1/2,z'
'-x+1/2,y+1/2,z'
'x+1/2,-y+1/2,z'
loop_
_atom_site_label
_atom_site_type_symbol
_atom_site_fract_x
_atom_site_fract_y
_atom_site_fract_z
Re1 Re 0.000 0.000 0.000
Hg1 Hg 0.000 0.500 0.759
As1 As 0.000 0.000 0.517
As2 As 0.000 0.500 0.181
# - E_tot (eV per atom) = -4.96
# - Fermi-level density of states (states/eV/f.u.) = 2.31